Material: SnWN2O
Method: DFT, PBE+U
State: optimized geometry

abc: 4.1495 4.1495 3.9360
angles: 90.00 90.00 90.00
Each line ends with the local moment (μB).
Atoms (fractional coordinates):
N: 0.5000 0.0000 0.0000  -0.37
O: 0.0000 0.0000 0.5000  -0.07
N: 0.0000 0.5000 0.0000  -0.37
W: 0.5000 0.5000 0.5000  2.92
Sn: 0.0000 0.0000 0.0000  0.01

Output
Total magnetic moment (μB/cell): 2.082
SG: P4/mmm
Total DFT energy (no corrections) (eV per atom): -5.649